! MgGe3Cl8, optimized geometry, DFT PBE; values from VASP
! * raw formation energy: -0.9925 eV/atom
&SYSTEM
  ibrav = 0, nat = 12, ntyp = 3
/
ATOMIC_SPECIES
Mg 24.30 Mg.upf
Ge 72.64 Ge.upf
Cl 35.45 Cl.upf
ATOMIC_POSITIONS crystal
Mg 0.292 0.682 0.584
Ge 0.385 0.233 0.769
Ge 0.714 0.328 0.429
Ge 0.600 0.727 0.200
Cl 0.437 0.630 0.873
Cl 0.391 0.970 0.782
Cl 0.861 0.294 0.722
Cl 0.215 0.376 0.430
Cl 0.785 0.647 0.570
Cl 0.150 0.724 0.300
Cl 0.540 0.353 0.080
Cl 0.628 0.005 0.257
CELL_PARAMETERS angstrom
-2.386 3.564 -3.134
-7.584 -4.883 0.220
1.590 3.714 7.515

! MgGe5Cl12, optimized geometry, DFT PBE; values from VASP
! * raw formation energy: -0.9395 eV/atom
&SYSTEM
  ibrav = 0, nat = 18, ntyp = 3
/
ATOMIC_SPECIES
Mg 24.30 Mg.upf
Ge 72.64 Ge.upf
Cl 35.45 Cl.upf
ATOMIC_POSITIONS crystal
Mg 0.000 0.000 0.000
Ge 0.500 0.000 0.500
Ge 0.167 0.667 0.500
Ge 0.833 0.333 0.500
Ge 0.667 0.667 0.000
Ge 0.333 0.333 0.000
Cl 0.834 0.000 0.388
Cl 0.166 0.000 0.612
Cl 0.686 0.000 0.894
Cl 0.314 0.000 0.106
Cl 0.314 0.686 0.894
Cl 0.000 0.686 0.106
Cl 0.000 0.314 0.894
Cl 0.686 0.314 0.106
Cl 0.500 0.333 0.612
Cl 0.833 0.667 0.612
Cl 0.167 0.333 0.388
Cl 0.500 0.667 0.388
CELL_PARAMETERS angstrom
-3.538 5.098 -2.641
-4.539 3.270 3.781
9.384 8.531 3.889

! MgGeCl6, optimized geometry, DFT PBE; values from VASP
! * raw formation energy: -1.0708 eV/atom
&SYSTEM
  ibrav = 0, nat = 8, ntyp = 3
/
ATOMIC_SPECIES
Mg 24.30 Mg.upf
Ge 72.64 Ge.upf
Cl 35.45 Cl.upf
ATOMIC_POSITIONS crystal
Mg 0.000 0.000 0.000
Ge 0.500 0.500 0.000
Cl 0.739 0.393 0.737
Cl 0.739 0.130 0.263
Cl 0.261 0.870 0.737
Cl 0.261 0.607 0.263
Cl 0.729 0.730 0.000
Cl 0.271 0.270 0.000
CELL_PARAMETERS angstrom
-5.604 -1.696 1.772
-2.712 -3.205 -4.463
0.999 -6.904 0.144

! MgGeCl2, optimized geometry, DFT PBE; values from VASP
! * raw formation energy: -0.2626 eV/atom
! * energy above the lowest structure with this stoichiometry: 241 meV per atom
&SYSTEM
  ibrav = 0, nat = 4, ntyp = 3
/
ATOMIC_SPECIES
Ge 72.64 Ge.upf
Mg 24.30 Mg.upf
Cl 35.45 Cl.upf
ATOMIC_POSITIONS crystal
Ge 0.500 0.500 0.500
Mg 0.000 0.000 0.000
Cl 0.250 0.250 0.250
Cl 0.750 0.750 0.750
CELL_PARAMETERS angstrom
-2.462 -4.272 -0.084
-4.293 -0.324 -2.404
-0.294 -2.595 -4.183

! Mg3GeCl, optimized geometry, DFT PBE; values from VASP
! * raw formation energy: 0.1212 eV/atom
! * energy above the lowest structure with this stoichiometry: 334 meV per atom
&SYSTEM
  ibrav = 0, nat = 5, ntyp = 3
/
ATOMIC_SPECIES
Ge 72.64 Ge.upf
Mg 24.30 Mg.upf
Cl 35.45 Cl.upf
ATOMIC_POSITIONS crystal
Ge 0.500 0.500 0.500
Mg 0.000 0.500 0.000
Mg 0.000 0.000 0.500
Mg 0.500 0.000 0.000
Cl 0.000 0.000 0.000
CELL_PARAMETERS angstrom
-0.544 -0.025 -4.899
-0.865 -4.851 0.121
-4.822 0.873 0.531

! Mg2Ge2Cl, optimized geometry, DFT PBE; values from VASP
! * raw formation energy: -0.3458 eV/atom
&SYSTEM
  ibrav = 0, nat = 10, ntyp = 3
/
ATOMIC_SPECIES
Ge 72.64 Ge.upf
Mg 24.30 Mg.upf
Cl 35.45 Cl.upf
ATOMIC_POSITIONS crystal
Ge 0.112 0.612 0.500
Ge 0.612 0.888 0.500
Ge 0.888 0.388 0.500
Ge 0.388 0.112 0.500
Mg 0.310 0.810 0.000
Mg 0.810 0.690 0.000
Mg 0.690 0.190 0.000
Mg 0.190 0.310 0.000
Cl 0.000 0.000 0.000
Cl 0.500 0.500 0.000
CELL_PARAMETERS angstrom
-4.206 -2.026 -5.954
1.408 -7.284 1.485
-3.021 -0.139 2.182

! Mg2GeCl, optimized geometry, DFT PBE; values from VASP
! * raw formation energy: -0.2126 eV/atom
! * energy above the lowest structure with this stoichiometry: 191 meV per atom
&SYSTEM
  ibrav = 0, nat = 4, ntyp = 3
/
ATOMIC_SPECIES
Ge 72.64 Ge.upf
Mg 24.30 Mg.upf
Cl 35.45 Cl.upf
ATOMIC_POSITIONS crystal
Ge 0.500 0.500 0.500
Mg 0.250 0.250 0.250
Mg 0.750 0.750 0.750
Cl 0.000 0.000 0.000
CELL_PARAMETERS angstrom
2.814 -3.996 -0.403
-1.230 -4.114 2.367
-1.610 -3.889 -2.516

! MgGeCl2, optimized geometry, DFT PBE; values from VASP
! * raw formation energy: -0.5035 eV/atom
! * energy above the lowest structure with this stoichiometry: 0 meV per atom
&SYSTEM
  ibrav = 0, nat = 8, ntyp = 3
/
ATOMIC_SPECIES
Ge 72.64 Ge.upf
Mg 24.30 Mg.upf
Cl 35.45 Cl.upf
ATOMIC_POSITIONS crystal
Ge 0.000 0.000 0.000
Ge 0.750 0.250 0.500
Mg 0.500 0.500 0.000
Mg 0.250 0.750 0.500
Cl 0.495 0.125 0.250
Cl 0.255 0.625 0.250
Cl 0.375 0.505 0.750
Cl 0.875 0.745 0.750
CELL_PARAMETERS angstrom
-1.518 -5.334 4.873
-3.365 -3.884 -5.300
1.653 -6.730 -1.259

! Mg3GeCl8, optimized geometry, DFT PBE; values from VASP
! * raw formation energy: -1.5762 eV/atom
&SYSTEM
  ibrav = 0, nat = 12, ntyp = 3
/
ATOMIC_SPECIES
Mg 24.30 Mg.upf
Ge 72.64 Ge.upf
Cl 35.45 Cl.upf
ATOMIC_POSITIONS crystal
Mg 0.500 0.000 0.000
Mg 0.500 0.500 0.000
Mg 0.000 0.500 0.000
Ge 0.000 0.000 0.000
Cl 0.262 0.524 0.792
Cl 0.738 0.476 0.208
Cl 0.277 0.029 0.787
Cl 0.752 0.029 0.787
Cl 0.752 0.504 0.787
Cl 0.248 0.496 0.213
Cl 0.248 0.971 0.213
Cl 0.723 0.971 0.213
CELL_PARAMETERS angstrom
-4.301 3.848 -4.791
3.998 -5.863 -2.427
-6.306 -1.285 4.630

! Mg2GeCl6, optimized geometry, DFT PBE; values from VASP
! * raw formation energy: -1.4883 eV/atom
&SYSTEM
  ibrav = 0, nat = 9, ntyp = 3
/
ATOMIC_SPECIES
Mg 24.30 Mg.upf
Ge 72.64 Ge.upf
Cl 35.45 Cl.upf
ATOMIC_POSITIONS crystal
Mg 0.500 0.333 0.667
Mg 0.500 0.667 0.333
Ge 0.500 0.000 0.000
Cl 0.290 0.648 0.000
Cl 0.290 0.352 0.352
Cl 0.290 0.000 0.648
Cl 0.710 0.352 0.000
Cl 0.710 0.648 0.648
Cl 0.710 0.000 0.352
CELL_PARAMETERS angstrom
6.656 0.000 0.000
0.000 5.653 -3.264
0.000 0.000 6.528

! MgGeCl4, optimized geometry, DFT PBE; values from VASP
! * raw formation energy: -1.3022 eV/atom
! * energy above the lowest structure with this stoichiometry: 0 meV per atom
&SYSTEM
  ibrav = 0, nat = 12, ntyp = 3
/
ATOMIC_SPECIES
Mg 24.30 Mg.upf
Ge 72.64 Ge.upf
Cl 35.45 Cl.upf
ATOMIC_POSITIONS crystal
Mg 0.500 0.500 0.500
Mg 0.000 0.000 0.000
Ge 0.000 0.000 0.500
Ge 0.500 0.500 0.000
Cl 0.500 0.194 0.391
Cl 0.000 0.306 0.109
Cl 0.500 0.806 0.609
Cl 0.000 0.694 0.891
Cl 0.000 0.658 0.395
Cl 0.500 0.842 0.105
Cl 0.000 0.342 0.605
Cl 0.500 0.158 0.895
CELL_PARAMETERS angstrom
3.782 0.000 0.000
0.000 6.677 0.049
0.000 0.234 13.126

! MgGe2Cl8, optimized geometry, DFT PBE; values from VASP
! * raw formation energy: -0.9573 eV/atom
&SYSTEM
  ibrav = 0, nat = 11, ntyp = 3
/
ATOMIC_SPECIES
Mg 24.30 Mg.upf
Ge 72.64 Ge.upf
Cl 35.45 Cl.upf
ATOMIC_POSITIONS crystal
Mg 0.000 0.000 0.000
Ge 0.696 0.788 0.788
Ge 0.304 0.212 0.212
Cl 0.198 0.259 0.936
Cl 0.802 0.064 0.741
Cl 0.304 0.821 0.821
Cl 0.696 0.179 0.179
Cl 0.198 0.936 0.259
Cl 0.802 0.741 0.064
Cl 0.881 0.602 0.602
Cl 0.119 0.398 0.398
CELL_PARAMETERS angstrom
-5.664 2.454 0.620
-3.530 -3.658 -6.192
-3.406 -5.975 4.109

Q: What is the formula in the third record?
A: MgGeCl6

Q: Among the records above, which one has the highest raw formation energy?
A: Mg3GeCl